4
Lattice="4.608 0.000 0.000 0.000 4.608 0.000 0.000 0.000 4.198" Properties=species:S:1:pos:R:3 comment="YInAg2 (GGA-PBE, relaxed)" sg="No. 123" e_tot_ev_per_atom=-3.95 pbc="T T T"
Y 0.000 0.000 0.000
In 2.304 2.304 0.000
Ag 0.000 2.304 2.099
Ag 2.304 0.000 2.099



10
Lattice="1.683 -5.324 0.000 1.683 5.324 0.000 0.000 0.000 9.888" Properties=species:S:1:pos:R:3 comment="K2AgO2 (GGA-PBE, relaxed)" sg="No. 36" de_polymorph_mev_per_atom=0.0 e_tot_ev_per_atom=-3.78 pbc="T T T"
K 1.683 4.309 4.944
K 1.683 1.641 6.764
K 1.683 -1.641 1.820
K 1.683 -4.309 0.000
Ag 1.683 1.328 3.474
Ag 1.683 -1.328 8.418
O 1.683 5.000 7.464
O 1.683 3.051 9.479
O 1.683 -3.051 4.535
O 1.683 -5.000 2.520



3
Lattice="0.000 3.353 3.353 3.353 0.000 3.353 3.353 3.353 0.000" Properties=species:S:1:pos:R:3 comment="PaTeIr (GGA-PBE, relaxed)" sg="No. 216" de_polymorph_mev_per_atom=298.4 e_tot_ev_per_atom=-7.05 pbc="T T T"
Pa 0.000 0.000 0.000
Te 5.030 5.030 5.030
Ir 3.353 3.353 3.353



20
Lattice="2.889 0.000 0.000 0.000 3.858 0.000 0.000 0.000 38.974" Properties=species:S:1:pos:R:3 comment="SbPt9 (GGA-PBE, relaxed)" sg="No. 59" de_polymorph_mev_per_atom=0.0 e_tot_ev_per_atom=-5.89 pbc="T T T"
Sb 0.722 0.965 6.008
Sb 2.167 2.894 32.966
Pt 0.722 0.965 8.924
Pt 0.722 0.965 11.751
Pt 0.722 0.965 14.577
Pt 0.722 0.965 17.385
Pt 0.722 0.965 20.192
Pt 0.722 0.965 22.992
Pt 0.722 0.965 25.806
Pt 0.722 0.965 28.628
Pt 0.722 0.965 31.573
Pt 2.167 2.894 7.400
Pt 2.167 2.894 10.346
Pt 2.167 2.894 13.168
Pt 2.167 2.894 15.982
Pt 2.167 2.894 18.782
Pt 2.167 2.894 21.589
Pt 2.167 2.894 24.397
Pt 2.167 2.894 27.223
Pt 2.167 2.894 30.050



6
Lattice="0.000 4.355 4.355 4.355 0.000 4.355 4.355 4.355 0.000" Properties=species:S:1:pos:R:3 comment="TcTe2 (GGA-PBE, relaxed)" sg="No. 227" e_tot_ev_per_atom=-3.95 pbc="T T T"
Tc 1.089 1.089 1.089
Tc 7.621 7.621 7.621
Te 4.355 2.178 2.178
Te 2.178 4.355 2.178
Te 2.178 2.178 4.355
Te 4.355 4.355 4.355



10
Lattice="4.845 0.000 0.000 0.789 4.804 0.000 2.393 2.031 6.692" Properties=species:S:1:pos:R:3 comment="Cu2Ag3 (GGA-PBE, relaxed)" sg="No. 1" de_polymorph_mev_per_atom=62.1 e_tot_ev_per_atom=-3.09 formation_energy_kj_per_mol_fu=46 pbc="T T T"
Cu 0.000 0.000 0.000
Cu 0.790 2.298 1.292
Cu 4.795 5.745 4.644
Cu 3.264 1.111 1.960
Ag 2.419 4.528 5.376
Ag 1.652 2.149 3.976
Ag 4.805 3.212 6.047
Ag 3.203 3.542 0.649
Ag 4.055 3.407 3.300
Ag 6.393 4.721 2.567



4
Lattice="0.000 3.167 3.167 3.167 0.000 3.167 3.167 3.167 0.000" Properties=species:S:1:pos:R:3 comment="ZnCuReSb (GGA-PBE, relaxed)" sg="No. 216" de_polymorph_mev_per_atom=0.0 e_tot_ev_per_atom=-4.87 pbc="T T T"
Zn 0.000 0.000 0.000
Cu 4.751 4.751 4.751
Re 1.584 1.584 1.584
Sb 3.167 3.167 3.167



8
Lattice="4.298 0.000 0.000 0.000 4.298 0.000 0.000 0.000 7.720" Properties=species:S:1:pos:R:3 comment="SrTcAsO (GGA-PBE, relaxed)" sg="No. 129" de_polymorph_mev_per_atom=1246.2 e_tot_ev_per_atom=-5.27 pbc="T T T"
Sr 1.074 3.223 0.000
Sr 3.223 1.074 0.000
Tc 1.074 1.074 3.135
Tc 3.223 3.223 4.585
As 1.074 1.074 5.572
As 3.223 3.223 2.148
O 1.074 3.223 3.860
O 3.223 1.074 3.860